This record from the Alexandria database describes crystalline PuCr2CdO6 at its relaxed geometry. The functional is GGA+U.

- uncorrected energy (Ry per atom) = -0.551
- Fermi-level density of states (states/eV/atom) = 0.462

a b c (Å): 6.143 6.143 4.227
angles (deg): 90.00 90.00 90.00
Space group P4mm (No. 99)
Inequivalent atoms, fractional coordinates:
Pu 0.000 0.000 0.000
Cr 0.000 0.500 0.100
Cd 0.500 0.500 0.882
O 0.000 0.000 0.504
O 0.235 0.235 0.028
O 0.500 0.500 0.397